## one
This record from Alexandria via LeMat-Bulk describes a relaxed LiIn3Pt crystal. The functional is PBE-GGA.

Results
**N(E_F)**: 0.342 states/eV/atom
**Spin magnetization**: 0.00 Bohr magnetons per cell

a = 7.9105 Å, b = 9.4145 Å, c = 6.0903 Å
α = 90.00°, β = 90.00°, γ = 90.00°
Space group Pnma (No. 62)
One atom of each set of equivalent atoms:
Li: 0.0698 0.2500 0.2442 (multiplicity 4)
In: 0.0513 0.7500 0.2234 (multiplicity 4)
In: 0.1717 0.5390 0.6130 (multiplicity 8)
Pt: 0.0000 0.0000 0.0000 (multiplicity 4)

## two
This record from Alexandria via LeMat-Bulk describes a relaxed LiIn3Pt crystal. The functional is PBE-GGA.

Results
**N(E_F)**: 0.511 states/eV/atom
**Spin magnetization**: 0.00 Bohr magnetons per cell

a = 5.2035 Å, b = 5.2035 Å, c = 5.2035 Å
α = 90.00°, β = 90.00°, γ = 90.00°
Space group Pm-3m (No. 221)
One atom of each set of equivalent atoms:
Li: 0.0000 0.0000 0.0000 (multiplicity 1)
In: 0.0000 0.5000 0.5000 (multiplicity 3)
Pt: 0.5000 0.5000 0.5000 (multiplicity 1)

## three
This record from Alexandria via LeMat-Bulk describes a relaxed LiIn3Pt crystal. The functional is PBE-GGA.

Results
**N(E_F)**: 0.361 states/eV/atom
**Spin magnetization**: 0.00 Bohr magnetons per cell

a = 10.7751 Å, b = 8.3508 Å, c = 7.0684 Å
α = 90.00°, β = 129.44°, γ = 90.00°
Space group C2/m (No. 12)
One atom of each set of equivalent atoms:
Li: 0.0480 0.0000 0.2409 (multiplicity 4)
In: 0.0973 0.5000 0.3963 (multiplicity 4)
In: 0.1881 0.3023 0.1447 (multiplicity 8)
Pt: 0.2306 0.5000 0.8745 (multiplicity 4)

It comes down to one, which is 15 meV per atom more stable than the next structure.